# 1
! TaNi2Au GGA-PBE relaxed; values from VASP
&SYSTEM
  ibrav = 0, nat = 16, ntyp = 3
/
ATOMIC_SPECIES
Ta 180.95 Ta.upf
Ni 58.69 Ni.upf
Au 196.97 Au.upf
CELL_PARAMETERS angstrom
6.152 0.000 0.000
0.000 6.152 0.000
0.000 0.000 6.152
ATOMIC_POSITIONS crystal
Ta 0.000 0.000 0.000
Ta 0.000 0.500 0.500
Ta 0.500 0.000 0.500
Ta 0.500 0.500 0.000
Ni 0.000 0.000 0.500
Ni 0.000 0.500 0.000
Ni 0.250 0.250 0.750
Ni 0.250 0.750 0.250
Ni 0.500 0.000 0.000
Ni 0.500 0.500 0.500
Ni 0.750 0.250 0.250
Ni 0.750 0.750 0.750
Au 0.250 0.250 0.250
Au 0.250 0.750 0.750
Au 0.750 0.250 0.750
Au 0.750 0.750 0.250
! Formation enthalpy at 0 K = 0.016 eV per atom
! Space-group type = F-43m, No. 216
! Electronic total energy = -106.516 eV/cell

# 2
! Ta4NiAu GGA-PBE relaxed; values from VASP
&SYSTEM
  ibrav = 0, nat = 6, ntyp = 3
/
ATOMIC_SPECIES
Ta 180.95 Ta.upf
Ni 58.69 Ni.upf
Au 196.97 Au.upf
CELL_PARAMETERS angstrom
0.000 3.799 3.799
3.799 0.000 3.799
3.799 3.799 0.000
ATOMIC_POSITIONS crystal
Ta 0.125 0.125 0.125
Ta 0.125 0.125 0.624
Ta 0.125 0.624 0.125
Ta 0.624 0.125 0.125
Ni 0.500 0.500 0.500
Au 0.750 0.750 0.750
! Formation enthalpy at 0 K = 0.496 eV per atom
! Space-group type = F-43m, No. 216
! Electronic total energy = -53.491 eV/cell

# 3
! TaNiAu2 GGA-PBE relaxed; values from VASP
&SYSTEM
  ibrav = 0, nat = 4, ntyp = 3
/
ATOMIC_SPECIES
Ta 180.95 Ta.upf
Ni 58.69 Ni.upf
Au 196.97 Au.upf
CELL_PARAMETERS angstrom
2.954 0.000 0.000
0.000 2.954 0.000
0.000 0.000 7.362
ATOMIC_POSITIONS crystal
Ta 0.000 0.000 0.000
Ni 0.000 0.000 0.500
Au 0.500 0.500 0.269
Au 0.500 0.500 0.731
! Formation enthalpy at 0 K = 0.018 eV per atom
! Space-group type = P4/mmm, No. 123
! Electronic total energy = -24.116 eV/cell

# 4
! TaNiAu3 GGA-PBE relaxed; values from VASP
&SYSTEM
  ibrav = 0, nat = 5, ntyp = 3
/
ATOMIC_SPECIES
Ta 180.95 Ta.upf
Ni 58.69 Ni.upf
Au 196.97 Au.upf
CELL_PARAMETERS angstrom
4.658 0.000 0.000
0.000 4.658 0.000
0.000 0.000 4.658
ATOMIC_POSITIONS crystal
Ta 0.000 0.000 0.000
Ni 0.500 0.500 0.500
Au 0.000 0.500 0.500
Au 0.500 0.000 0.500
Au 0.500 0.500 0.000
! Formation enthalpy at 0 K = 1.047 eV per atom
! Space-group type = Pm-3m, No. 221
! Electronic total energy = -22.231 eV/cell

# 5
! TaNiTe2Au GGA-PBE relaxed; values from VASP
&SYSTEM
  ibrav = 0, nat = 5, ntyp = 4
/
ATOMIC_SPECIES
Ta 180.95 Ta.upf
Ni 58.69 Ni.upf
Te 127.60 Te.upf
Au 196.97 Au.upf
CELL_PARAMETERS angstrom
4.898 0.000 0.000
0.000 4.898 0.000
0.000 0.000 4.736
ATOMIC_POSITIONS crystal
Ta 0.000 0.000 0.000
Ni 0.500 0.500 0.500
Te 0.000 0.500 0.500
Te 0.500 0.000 0.500
Au 0.500 0.500 0.000
! Space-group type = P4/mmm, No. 123
! Uncorrected formation energy = 0.8160 eV/atom
! Electronic total energy = -23.115 eV/cell

# 6
! TaTiNiAu GGA-PBE relaxed; values from VASP
&SYSTEM
  ibrav = 0, nat = 4, ntyp = 4
/
ATOMIC_SPECIES
Ta 180.95 Ta.upf
Ti 47.87 Ti.upf
Ni 58.69 Ni.upf
Au 196.97 Au.upf
CELL_PARAMETERS angstrom
3.218 0.000 0.000
0.000 3.218 0.000
0.000 0.000 6.108
ATOMIC_POSITIONS crystal
Ta 0.000 0.000 0.000
Ti 0.500 0.500 0.717
Ni 0.500 0.500 0.208
Au 0.000 0.000 0.467
! Formation enthalpy at 0 K = -0.319 eV per atom
! Space-group type = P4mm, No. 99
! Electronic total energy = -30.084 eV/cell

# 7
! TbNi2Au GGA-PBE relaxed; values from VASP
&SYSTEM
  ibrav = 0, nat = 4, ntyp = 3
/
ATOMIC_SPECIES
Tb 158.93 Tb.upf
Ni 58.69 Ni.upf
Au 196.97 Au.upf
CELL_PARAMETERS angstrom
4.154 0.000 0.000
0.000 4.154 0.000
0.000 0.000 3.768
ATOMIC_POSITIONS crystal
Tb 0.000 0.000 0.000
Ni 0.000 0.500 0.500
Ni 0.500 0.000 0.500
Au 0.500 0.500 0.000
! Formation enthalpy at 0 K = -0.379 eV per atom
! Space-group type = P4/mmm, No. 123
! Electronic total energy = -20.985 eV/cell

# 8
! Tb4Ni3Au GGA-PBE relaxed; values from VASP
&SYSTEM
  ibrav = 0, nat = 8, ntyp = 3
/
ATOMIC_SPECIES
Tb 158.93 Tb.upf
Ni 58.69 Ni.upf
Au 196.97 Au.upf
CELL_PARAMETERS angstrom
3.719 0.000 0.000
0.000 4.452 0.000
0.000 0.000 10.307
ATOMIC_POSITIONS crystal
Tb 0.000 0.000 0.000
Tb 0.000 0.500 0.265
Tb 0.500 0.000 0.476
Tb 0.500 0.500 0.772
Ni 0.000 0.500 0.544
Ni 0.500 0.000 0.202
Ni 0.500 0.500 0.055
Au 0.000 0.000 0.704
! Formation enthalpy at 0 K = -0.526 eV per atom
! Space-group type = Pmm2, No. 25
! Electronic total energy = -43.354 eV/cell

# 9
! Tb12Ni6Au GGA-PBE relaxed; values from VASP
&SYSTEM
  ibrav = 0, nat = 19, ntyp = 3
/
ATOMIC_SPECIES
Tb 158.93 Tb.upf
Ni 58.69 Ni.upf
Au 196.97 Au.upf
CELL_PARAMETERS angstrom
6.446 3.722 3.493
-6.446 3.722 3.493
0.000 -7.444 3.493
ATOMIC_POSITIONS crystal
Tb 0.072 0.668 0.921
Tb 0.079 0.928 0.332
Tb 0.171 0.412 0.558
Tb 0.332 0.079 0.928
Tb 0.412 0.558 0.171
Tb 0.442 0.829 0.588
Tb 0.558 0.171 0.412
Tb 0.588 0.442 0.829
Tb 0.668 0.921 0.072
Tb 0.829 0.588 0.442
Tb 0.921 0.072 0.668
Tb 0.928 0.332 0.079
Ni 0.144 0.617 0.314
Ni 0.314 0.144 0.617
Ni 0.383 0.686 0.856
Ni 0.617 0.314 0.144
Ni 0.686 0.856 0.383
Ni 0.856 0.383 0.686
Au 0.000 0.000 0.000
! Formation enthalpy at 0 K = -0.202 eV per atom
! Space-group type = R-3, No. 148
! Electronic total energy = -97.357 eV/cell

# 10
! Tb8NiAu2 GGA-PBE relaxed; values from VASP
&SYSTEM
  ibrav = 0, nat = 11, ntyp = 3
/
ATOMIC_SPECIES
Tb 158.93 Tb.upf
Ni 58.69 Ni.upf
Au 196.97 Au.upf
CELL_PARAMETERS angstrom
8.729 -2.549 0.000
8.729 2.549 0.000
-1.486 0.000 6.627
ATOMIC_POSITIONS crystal
Tb 0.028 0.028 0.281
Tb 0.204 0.204 0.821
Tb 0.343 0.343 0.530
Tb 0.412 0.412 0.058
Tb 0.588 0.588 0.942
Tb 0.657 0.657 0.470
Tb 0.796 0.796 0.179
Tb 0.972 0.972 0.719
Ni 0.500 0.500 0.500
Au 0.192 0.192 0.237
Au 0.808 0.808 0.763
! Formation enthalpy at 0 K = -0.366 eV per atom
! Space-group type = C2/m, No. 12
! Electronic total energy = -53.408 eV/cell

# 11
! Tb12Ni6Au GGA-PBE relaxed; values from VASP
&SYSTEM
  ibrav = 0, nat = 19, ntyp = 3
/
ATOMIC_SPECIES
Tb 158.93 Tb.upf
Ni 58.69 Ni.upf
Au 196.97 Au.upf
CELL_PARAMETERS angstrom
-4.831 4.831 4.831
4.831 -4.831 4.831
4.831 4.831 -4.831
ATOMIC_POSITIONS crystal
Tb 0.116 0.815 0.301
Tb 0.185 0.301 0.486
Tb 0.185 0.699 0.884
Tb 0.301 0.116 0.815
Tb 0.301 0.486 0.185
Tb 0.486 0.185 0.301
Tb 0.514 0.815 0.699
Tb 0.699 0.514 0.815
Tb 0.699 0.884 0.185
Tb 0.815 0.301 0.116
Tb 0.815 0.699 0.514
Tb 0.884 0.185 0.699
Ni 0.125 0.625 0.500
Ni 0.375 0.500 0.875
Ni 0.500 0.125 0.625
Ni 0.500 0.875 0.375
Ni 0.625 0.500 0.125
Ni 0.875 0.375 0.500
Au 0.000 0.000 0.000
! Formation enthalpy at 0 K = -0.362 eV per atom
! Space-group type = Im-3, No. 204
! Electronic total energy = -100.407 eV/cell

# 12
! Tb2NiAu GGA-PBE relaxed; values from VASP
&SYSTEM
  ibrav = 0, nat = 4, ntyp = 3
/
ATOMIC_SPECIES
Tb 158.93 Tb.upf
Ni 58.69 Ni.upf
Au 196.97 Au.upf
CELL_PARAMETERS angstrom
3.492 0.000 0.000
0.000 3.492 0.000
0.000 0.000 7.106
ATOMIC_POSITIONS crystal
Tb 0.000 0.000 0.234
Tb 0.000 0.000 0.766
Ni 0.500 0.500 0.000
Au 0.500 0.500 0.500
! Formation enthalpy at 0 K = -0.595 eV per atom
! Space-group type = P4/mmm, No. 123
! Electronic total energy = -20.700 eV/cell

# 13
! Tb3Ni7Au2 GGA-PBE relaxed; values from VASP
&SYSTEM
  ibrav = 0, nat = 12, ntyp = 3
/
ATOMIC_SPECIES
Tb 158.93 Tb.upf
Ni 58.69 Ni.upf
Au 196.97 Au.upf
CELL_PARAMETERS angstrom
2.564 1.480 8.373
-2.564 1.480 8.373
0.000 -2.960 8.373
ATOMIC_POSITIONS crystal
Tb 0.000 0.000 0.000
Tb 0.140 0.140 0.140
Tb 0.860 0.860 0.860
Ni 0.086 0.589 0.589
Ni 0.411 0.411 0.914
Ni 0.411 0.914 0.411
Ni 0.500 0.500 0.500
Ni 0.589 0.086 0.589
Ni 0.589 0.589 0.086
Ni 0.914 0.411 0.411
Au 0.334 0.334 0.334
Au 0.666 0.666 0.666
! Formation enthalpy at 0 K = -0.442 eV per atom
! Space-group type = R-3m, No. 166
! Electronic total energy = -66.223 eV/cell